1.
{"formula": "Tl2GaHg4", "functional": "PBE", "state": "relaxed", "lattice": [[-2.630, 2.630, 8.120], [2.630, -2.630, 8.120], [2.630, 2.630, -8.120]], "species": ["Tl", "Tl", "Ga", "Hg", "Hg", "Hg", "Hg"], "frac_coords": [[0.132, 0.132, 0.000], [0.868, 0.868, 0.000], [0.500, 0.500, 0.000], [0.000, 0.500, 0.500], [0.323, 0.323, 0.000], [0.500, 0.000, 0.500], [0.677, 0.677, 0.000]], "n_ef_per_ev_cell": 2.50, "sg": "No. 139", "magnetic_moment_mub_per_cell": 0.00, "e_above_lowest_polymorph_mev_per_atom": 31, "energy_ev_per_atom": -1.200}


2.
{"formula": "Tl8Ga2Hg", "functional": "PBE", "state": "relaxed", "lattice": [[6.739, -3.392, 0.000], [6.739, 3.392, 0.000], [-1.974, 0.000, 7.153]], "species": ["Tl", "Tl", "Tl", "Tl", "Tl", "Tl", "Tl", "Tl", "Ga", "Ga", "Hg"], "frac_coords": [[0.082, 0.082, 0.377], [0.128, 0.655, 0.073], [0.307, 0.307, 0.694], [0.345, 0.872, 0.927], [0.655, 0.128, 0.073], [0.693, 0.693, 0.306], [0.872, 0.345, 0.927], [0.918, 0.918, 0.623], [0.280, 0.280, 0.271], [0.720, 0.720, 0.729], [0.500, 0.500, 0.500]], "n_ef_per_ev_cell": 4.83, "sg": "No. 12", "magnetic_moment_mub_per_cell": 0.00, "energy_ev_per_atom": -2.213}


3.
{"formula": "Tl4GaHg8", "functional": "PBE", "state": "relaxed", "lattice": [[4.117, 0.000, 0.000], [0.000, 5.088, 0.000], [0.000, 0.000, 17.478]], "species": ["Tl", "Tl", "Tl", "Tl", "Ga", "Hg", "Hg", "Hg", "Hg", "Hg", "Hg", "Hg", "Hg"], "frac_coords": [[0.000, 0.000, 0.000], [0.000, 0.500, 0.152], [0.500, 0.000, 0.442], [0.500, 0.500, 0.660], [0.000, 0.000, 0.744], [0.000, 0.000, 0.297], [0.000, 0.000, 0.586], [0.000, 0.500, 0.478], [0.000, 0.500, 0.827], [0.500, 0.000, 0.154], [0.500, 0.000, 0.856], [0.500, 0.500, 0.313], [0.500, 0.500, 0.982]], "n_ef_per_ev_cell": 4.23, "sg": "No. 25", "magnetic_moment_mub_per_cell": 0.00, "energy_ev_per_atom": -1.135}


4.
{"formula": "Tl2GaHg5", "functional": "PBE", "state": "relaxed", "lattice": [[4.515, -4.820, 0.000], [4.515, 4.820, 0.000], [-4.003, 0.000, 5.087]], "species": ["Tl", "Tl", "Ga", "Hg", "Hg", "Hg", "Hg", "Hg"], "frac_coords": [[0.000, 0.000, 0.000], [0.002, 0.002, 0.499], [0.502, 0.502, 0.252], [0.016, 0.501, 0.005], [0.501, 0.016, 0.005], [0.501, 0.987, 0.495], [0.502, 0.502, 0.751], [0.987, 0.501, 0.495]], "n_ef_per_ev_cell": 2.72, "sg": "No. 8", "magnetic_moment_mub_per_cell": 0.00, "e_above_lowest_polymorph_mev_per_atom": 0, "energy_ev_per_atom": -1.128}


5.
{"formula": "Tl12GaHg6", "functional": "PBE", "state": "relaxed", "lattice": [[7.415, 4.281, 3.006], [-7.415, 4.281, 3.006], [0.000, -8.562, 3.006]], "species": ["Tl", "Tl", "Tl", "Tl", "Tl", "Tl", "Tl", "Tl", "Tl", "Tl", "Tl", "Tl", "Ga", "Hg", "Hg", "Hg", "Hg", "Hg", "Hg"], "frac_coords": [[0.005, 0.099, 0.687], [0.099, 0.687, 0.005], [0.187, 0.690, 0.461], [0.310, 0.539, 0.813], [0.313, 0.995, 0.901], [0.461, 0.187, 0.690], [0.539, 0.813, 0.310], [0.687, 0.005, 0.099], [0.690, 0.461, 0.187], [0.813, 0.310, 0.539], [0.901, 0.313, 0.995], [0.995, 0.901, 0.313], [0.500, 0.500, 0.500], [0.112, 0.297, 0.376], [0.297, 0.376, 0.112], [0.376, 0.112, 0.297], [0.624, 0.888, 0.703], [0.703, 0.624, 0.888], [0.888, 0.703, 0.624]], "n_ef_per_ev_cell": 8.21, "sg": "No. 148", "magnetic_moment_mub_per_cell": 0.00, "e_above_lowest_polymorph_mev_per_atom": 7, "energy_ev_per_atom": -1.718}


6.
{"formula": "TlGa2Hg10", "functional": "PBE", "state": "relaxed", "lattice": [[0.000, 7.209, 8.467], [2.851, 0.000, 8.467], [2.851, 7.209, 0.000]], "species": ["Tl", "Ga", "Ga", "Hg", "Hg", "Hg", "Hg", "Hg", "Hg", "Hg", "Hg", "Hg", "Hg"], "frac_coords": [[0.000, 0.000, 0.000], [0.000, 0.000, 0.500], [0.500, 0.500, 0.000], [0.000, 0.500, 0.000], [0.013, 0.641, 0.359], [0.297, 0.506, 0.494], [0.359, 0.987, 0.013], [0.494, 0.703, 0.297], [0.500, 0.000, 0.500], [0.506, 0.297, 0.703], [0.641, 0.013, 0.987], [0.703, 0.494, 0.506], [0.987, 0.359, 0.641]], "n_ef_per_ev_cell": 4.08, "sg": "No. 69", "magnetic_moment_mub_per_cell": 0.00, "energy_ev_per_atom": -0.819}


7.
{"formula": "Tl2Ga2Hg", "functional": "PBE", "state": "relaxed", "lattice": [[7.090, 0.000, 0.000], [0.000, 7.090, 0.000], [0.000, 0.000, 5.127]], "species": ["Tl", "Tl", "Tl", "Tl", "Ga", "Ga", "Ga", "Ga", "Hg", "Hg"], "frac_coords": [[0.176, 0.324, 0.000], [0.324, 0.824, 0.000], [0.676, 0.176, 0.000], [0.824, 0.676, 0.000], [0.131, 0.631, 0.500], [0.369, 0.131, 0.500], [0.631, 0.869, 0.500], [0.869, 0.369, 0.500], [0.000, 0.000, 0.500], [0.500, 0.500, 0.500]], "n_ef_per_ev_cell": 2.76, "sg": "No. 127", "magnetic_moment_mub_per_cell": 0.00, "e_above_lowest_polymorph_mev_per_atom": 0, "energy_ev_per_atom": -2.169}


8.
{"formula": "Tl2GaHg5", "functional": "PBE", "state": "relaxed", "lattice": [[6.944, 0.000, 0.000], [0.000, 6.944, 0.000], [0.000, 0.000, 5.132]], "species": ["Tl", "Tl", "Ga", "Hg", "Hg", "Hg", "Hg", "Hg"], "frac_coords": [[0.000, 0.500, 0.000], [0.500, 0.000, 0.000], [0.000, 0.000, 0.500], [0.000, 0.000, 0.000], [0.286, 0.286, 0.500], [0.286, 0.714, 0.500], [0.714, 0.286, 0.500], [0.714, 0.714, 0.500]], "n_ef_per_ev_cell": 3.84, "sg": "No. 123", "magnetic_moment_mub_per_cell": 0.00, "e_above_lowest_polymorph_mev_per_atom": 37, "energy_ev_per_atom": -1.091}


9.
{"formula": "TlGa3Hg", "functional": "PBE", "state": "relaxed", "lattice": [[6.373, 0.000, 0.000], [0.000, 11.479, 0.000], [-4.223, 0.000, 6.479]], "species": ["Tl", "Tl", "Tl", "Tl", "Ga", "Ga", "Ga", "Ga", "Ga", "Ga", "Ga", "Ga", "Ga", "Ga", "Ga", "Ga", "Hg", "Hg", "Hg", "Hg"], "frac_coords": [[0.249, 0.012, 0.250], [0.249, 0.488, 0.750], [0.751, 0.512, 0.250], [0.751, 0.988, 0.750], [0.186, 0.653, 0.048], [0.186, 0.847, 0.548], [0.251, 0.053, 0.750], [0.251, 0.447, 0.250], [0.313, 0.653, 0.452], [0.313, 0.847, 0.952], [0.687, 0.153, 0.048], [0.687, 0.347, 0.548], [0.749, 0.553, 0.750], [0.749, 0.947, 0.250], [0.814, 0.153, 0.452], [0.814, 0.347, 0.952], [0.251, 0.250, 0.001], [0.251, 0.250, 0.501], [0.749, 0.750, 0.499], [0.749, 0.750, 0.999]], "n_ef_per_ev_cell": 6.64, "sg": "No. 14", "magnetic_moment_mub_per_cell": 0.00, "e_above_lowest_polymorph_mev_per_atom": 0, "energy_ev_per_atom": -2.302}


10.
{"formula": "Tl4Ga3Hg16", "functional": "PBE", "state": "relaxed", "lattice": [[7.113, 0.000, 0.000], [0.000, 7.113, 0.000], [-0.007, -0.002, 12.517]], "species": ["Tl", "Tl", "Tl", "Tl", "Ga", "Ga", "Ga", "Hg", "Hg", "Hg", "Hg", "Hg", "Hg", "Hg", "Hg", "Hg", "Hg", "Hg", "Hg", "Hg", "Hg", "Hg", "Hg"], "frac_coords": [[0.000, 0.000, 0.182], [0.000, 0.000, 0.818], [0.500, 0.500, 0.182], [0.500, 0.500, 0.818], [0.000, 0.000, 0.500], [0.000, 0.500, 0.000], [0.500, 0.500, 0.500], [0.000, 0.500, 0.227], [0.000, 0.500, 0.773], [0.256, 0.244, 0.370], [0.256, 0.244, 0.630], [0.256, 0.756, 0.370], [0.256, 0.756, 0.630], [0.280, 0.220, 0.000], [0.280, 0.780, 0.000], [0.500, 0.000, 0.203], [0.500, 0.000, 0.797], [0.720, 0.220, 0.000], [0.720, 0.780, 0.000], [0.744, 0.244, 0.370], [0.744, 0.244, 0.630], [0.744, 0.756, 0.370], [0.744, 0.756, 0.630]], "n_ef_per_ev_cell": 8.40, "sg": "No. 2", "magnetic_moment_mub_per_cell": 0.00, "energy_ev_per_atom": -1.002}


11.
{"formula": "Tl2GaHg12", "functional": "PBE", "state": "relaxed", "lattice": [[6.393, 0.000, 0.000], [0.000, 6.393, 0.000], [0.000, 0.000, 21.749]], "species": ["Tl", "Tl", "Tl", "Tl", "Ga", "Ga", "Hg", "Hg", "Hg", "Hg", "Hg", "Hg", "Hg", "Hg", "Hg", "Hg", "Hg", "Hg", "Hg", "Hg", "Hg", "Hg", "Hg", "Hg", "Hg", "Hg", "Hg", "Hg", "Hg", "Hg"], "frac_coords": [[0.250, 0.750, 0.234], [0.250, 0.750, 0.766], [0.750, 0.250, 0.234], [0.750, 0.250, 0.766], [0.250, 0.750, 0.000], [0.750, 0.250, 0.000], [0.001, 0.501, 0.086], [0.001, 0.999, 0.914], [0.059, 0.559, 0.570], [0.059, 0.941, 0.430], [0.250, 0.250, 0.188], [0.250, 0.250, 0.328], [0.250, 0.250, 0.672], [0.250, 0.250, 0.812], [0.441, 0.559, 0.430], [0.441, 0.941, 0.570], [0.499, 0.501, 0.914], [0.499, 0.999, 0.086], [0.501, 0.001, 0.914], [0.501, 0.499, 0.086], [0.559, 0.059, 0.430], [0.559, 0.441, 0.570], [0.750, 0.750, 0.188], [0.750, 0.750, 0.328], [0.750, 0.750, 0.672], [0.750, 0.750, 0.812], [0.941, 0.059, 0.570], [0.941, 0.441, 0.430], [0.999, 0.001, 0.086], [0.999, 0.499, 0.914]], "n_ef_per_ev_cell": 8.52, "sg": "No. 125", "magnetic_moment_mub_per_cell": 0.00, "energy_ev_per_atom": -0.731}


12.
{"formula": "TlGa2Hg2", "functional": "PBE", "state": "relaxed", "lattice": [[8.671, 0.000, 0.000], [0.000, 8.671, 0.000], [0.000, 0.000, 3.283]], "species": ["Tl", "Tl", "Ga", "Ga", "Ga", "Ga", "Hg", "Hg", "Hg", "Hg"], "frac_coords": [[0.000, 0.000, 0.000], [0.500, 0.500, 0.000], [0.142, 0.358, 0.500], [0.358, 0.858, 0.500], [0.642, 0.142, 0.500], [0.858, 0.642, 0.500], [0.153, 0.653, 0.000], [0.347, 0.153, 0.000], [0.653, 0.847, 0.000], [0.847, 0.347, 0.000]], "n_ef_per_ev_cell": 4.29, "sg": "No. 127", "magnetic_moment_mub_per_cell": 0.00, "e_above_lowest_polymorph_mev_per_atom": 59, "energy_ev_per_atom": -1.732}